1.
First-principles (PBE) data for a geometry-optimized WS3I structure, as listed in the Alexandria database.

The space group is Pm-3m (No. 221) and the conventional cell measures 5.021, 5.021 and 5.021 Å, with angles of 90.00, 90.00 and 90.00 degrees. The distinct sites, in fractional coordinates, are W at (0.000, 0.000, 0.000), S at (0.000, 0.500, 0.500) and I at (0.500, 0.500, 0.500).

Its size of the total moment is 0.76 μB per atom. The calculated density is 5340 kg/m3. As for the raw total energy: -17.43 eV/cell. The calculation puts the energy above the most stable polymorph in this dataset at 1721 meV/atom. The formation energy without anion corrections comes out at 1.891 eV per atom.

=====

2.
First-principles (PBE) data for a geometry-optimized WSI2 structure, as listed in the Alexandria database.

The space group is Fm-3m (No. 225) and the conventional cell measures 6.979, 6.979 and 6.979 Å, with angles of 90.00, 90.00 and 90.00 degrees. The distinct sites, in fractional coordinates, are W at (0.000, 0.000, 0.000), S at (0.000, 0.000, 0.500) and I at (0.250, 0.250, 0.250).

Its size of the total moment is 0.14 μB per atom. The calculated density is 9177 kg/m3. As for the raw total energy: -60.86 eV/cell. The calculation puts the energy above the most stable polymorph in this dataset at 74 meV/atom. The formation energy without anion corrections comes out at 1.242 eV per atom.

=====

3.
First-principles (PBE) data for a geometry-optimized WS4I structure, as listed in the Alexandria database.

The space group is P-1 (No. 2) and the conventional cell measures 6.162, 7.788 and 7.909 Å, with angles of 102.67, 101.41 and 101.35 degrees. The distinct sites, in fractional coordinates, are W at (0.237, 0.000, 0.000), S at (0.017, 0.196, 0.876), S at (0.088, 0.081, 0.266), S at (0.416, 0.745, 0.919), S at (0.481, 0.120, 0.807) and I at (0.249, 0.510, 0.487).

Its size of the total moment is 0.00 μB per atom. The calculated density is 4149 kg/m3. As for the raw total energy: -64.71 eV/cell. The formation energy without anion corrections comes out at -0.224 eV per atom.

=====

4.
First-principles (PBE) data for a geometry-optimized WS3I structure, as listed in the Alexandria database.

The space group is Pm-3m (No. 221) and the conventional cell measures 4.738, 4.738 and 4.738 Å, with angles of 90.00, 90.00 and 90.00 degrees. The distinct sites, in fractional coordinates, are W at (0.000, 0.000, 0.000), S at (0.000, 0.000, 0.500) and I at (0.500, 0.500, 0.500).

Its size of the total moment is 0.00 μB per atom. The calculated density is 6355 kg/m3. As for the raw total energy: -26.03 eV/cell. The calculation puts the energy above the most stable polymorph in this dataset at 0 meV/atom. The formation energy without anion corrections comes out at 0.170 eV per atom.

=====

> Which of these has the highest size of the total moment?

number 1

=====

> raw total energy of number 4 (WS3I)?

-26.03 eV/cell